# Nd2Dy4HoTm2 (PBE, relaxed)
# * ΔH_f (0 K): 8 kJ per mole of atoms
# * total magnetization: 0.00 μB per formula unit
data_Nd2Dy4HoTm2
_chemical_formula_sum 'Nd2 Dy4 Ho1 Tm2'
_space_group_name_H-M_alt 'P -1'
_space_group_IT_number 2
_space_group_name_Hall '-P 1'
_cell_length_a 5.9895
_cell_length_b 6.6080
_cell_length_c 8.5720
_cell_angle_alpha 79.85
_cell_angle_beta 70.33
_cell_angle_gamma 65.01
loop_
_atom_site_label
_atom_site_type_symbol
_atom_site_fract_x
_atom_site_fract_y
_atom_site_fract_z
Nd1 Nd 0.2321 0.3239 0.3424
Dy1 Dy 0.1161 0.1271 0.7627
Dy2 Dy 0.2406 0.5745 0.8843
Ho1 Ho 0.5000 0.0000 0.0000
Tm1 Tm 0.3213 0.7702 0.4453

# Y4Ho3Er8 (PBE, relaxed)
# * ΔH_f (0 K): 39 kJ per mole of atoms
# * offset from the most stable computed form: 26.0 kJ/mol of atoms
# * total magnetization: 0.14 μB per formula unit
data_Y4Ho3Er8
_chemical_formula_sum 'Y8 Ho6 Er16'
_space_group_name_H-M_alt 'C 1 2/m 1'
_space_group_IT_number 12
_space_group_name_Hall '-C 2y'
_cell_length_a 13.2757
_cell_length_b 12.7668
_cell_length_c 6.6924
_cell_angle_alpha 90.00
_cell_angle_beta 120.23
_cell_angle_gamma 90.00
loop_
_atom_site_label
_atom_site_type_symbol
_atom_site_fract_x
_atom_site_fract_y
_atom_site_fract_z
Y1 Y 0.0000 0.0000 0.0000
Y2 Y 0.0000 0.0000 0.5000
Y3 Y 0.2500 0.2500 0.0000
Ho1 Ho 0.0000 0.5000 0.0000
Ho2 Ho 0.2500 0.2500 0.5000
Er1 Er 0.0000 0.2541 0.0000
Er2 Er 0.0000 0.3608 0.5000
Er3 Er 0.2298 0.5000 0.9673
Er4 Er 0.2310 0.5000 0.4904

# SrPrBrN (PBE, relaxed)
# * formation energy from raw total energies: -1.272 eV per atom
# * total magnetization: 0.01 μB per formula unit
data_SrPrBrN
_chemical_formula_sum 'Sr3 Pr3 Br3 N3'
_space_group_name_H-M_alt 'R 3 m'
_space_group_IT_number 160
_space_group_name_Hall 'R 3 -2"'
_cell_length_a 3.8256
_cell_length_b 3.8256
_cell_length_c 22.4369
_cell_angle_alpha 90.00
_cell_angle_beta 90.00
_cell_angle_gamma 120.00
loop_
_atom_site_label
_atom_site_type_symbol
_atom_site_fract_x
_atom_site_fract_y
_atom_site_fract_z
Sr1 Sr 0.0000 0.0000 0.0000
Pr1 Pr 0.0000 0.0000 0.2112
Br1 Br 0.0000 0.0000 0.7741
N1 N 0.0000 0.0000 0.5986